A plane-wave DFT calculation with GGA+U was carried out for crystalline NaMnW2F at its relaxed geometry.

a = 4.9099 Å, b = 5.9334 Å, c = 4.9099 Å
α = 90.00°, β = 90.00°, γ = 90.00°
Closest atoms and distances in Å follow each position.
Atoms (fractional coordinates):
Mn: 0.0000 0.0000 0.0000  4 W 2.45
W: 0.5000 0.0000 0.0000  2 Mn 2.45
Na: 0.0000 0.5000 0.0000  2 Mn 2.97
F: 0.5000 0.5000 0.5000  4 Na 3.47, 8 W 3.85
W: 0.0000 0.0000 0.5000  2 Mn 2.45

Output
Calculated volume: 143.0 Å³/f.u.
Raw total energy: -18.259 eV per cell